The following is a PBE-GGA calculation of Hf4TlB2Pb after structural relaxation, from OQMD.

Computed properties:
Its calculated density is 12.277 g/cm3. The total energy is -7.8362 eV per atom. Its symmetry is P-6m2 (187).

a b c (Å): 3.448 3.448 15.068
angles (deg): 90.00 90.00 120.00
Atoms (fractional coordinates):
B: 0.667 0.333 0.250
B: 0.667 0.333 0.750
Hf: 0.333 0.667 0.167
Hf: 0.000 0.000 0.333
Hf: 0.000 0.000 0.667
Hf: 0.333 0.667 0.833
Pb: 0.000 0.000 0.000
Tl: 0.333 0.667 0.500


The following is a PBE-GGA calculation of ZnHgS2 after structural relaxation, from OQMD.

Computed properties:
Its calculated density is 5.891 g/cm3. The total energy is -2.8850 eV per atom. Its symmetry is P3m1 (156).

a b c (Å): 4.019 4.019 6.652
angles (deg): 90.00 90.00 120.00
Atoms (fractional coordinates):
Hg: 0.333 0.667 0.509
S: 0.000 0.000 0.350
S: 0.333 0.667 0.893
Zn: 0.000 0.000 0.998


The following is a PBE-GGA calculation of CsK2Hg2 after structural relaxation, from OQMD.

Computed properties:
Its calculated density is 4.063 g/cm3. The total energy is -0.8965 eV per atom. Its symmetry is I4/mmm (139).

a b c (Å): 5.779 5.779 8.534
angles (deg): 109.79 109.79 90.00
Atoms (fractional coordinates):
Cs: 0.000 0.000 0.000
Hg: 0.600 0.600 0.199
Hg: 0.400 0.400 0.801
K: 0.750 0.250 0.500
K: 0.250 0.750 0.500